1.
# Pm3SmTe4 PBE optimized geometry
data_Pm3SmTe4
_symmetry_space_group_name_H-M 'C m m m'
_symmetry_Int_Tables_number 65
_symmetry_space_group_name_Hall '-C 2 2'
_cell_length_a 9.006
_cell_length_b 12.617
_cell_length_c 4.418
_cell_angle_alpha 90.00
_cell_angle_beta 90.00
_cell_angle_gamma 90.00
loop_
_atom_site_label
_atom_site_fract_x
_atom_site_fract_y
_atom_site_fract_z
Pm1 0.000 0.000 0.000
Pm2 0.250 0.250 0.500
Sm1 0.000 0.500 0.000
Te1 0.000 0.251 0.000
Te2 0.249 0.500 0.500
# - Crystal system: orthorhombic
# - Uncorrected formation energy: -1401 meV per atom



2.
# TlAg3Pt PBE optimized geometry
data_TlAg3Pt
_symmetry_space_group_name_H-M 'P m -3 m'
_symmetry_Int_Tables_number 221
_symmetry_space_group_name_Hall '-P 4 2 3'
_cell_length_a 5.169
_cell_length_b 5.169
_cell_length_c 5.169
_cell_angle_alpha 90.00
_cell_angle_beta 90.00
_cell_angle_gamma 90.00
loop_
_atom_site_label
_atom_site_fract_x
_atom_site_fract_y
_atom_site_fract_z
Tl1 0.000 0.000 0.000
Ag1 0.000 0.500 0.500
Pt1 0.500 0.500 0.500
# - ΔE_f: 2.63 eV/f.u.
# - Crystal system: cubic



Offset from the most stable computed form in meV/atom, matching the order above: 0; 0
N(E_F) in states/eV per cell, matching the order above: 10.38; 2.48
Volume in Å³ per atom, matching the order above: 31.38; 27.62